The following is a PBE calculation of an optimized crystal structure of AlGaSn2, from Alexandria.

extended XYZ file:
```
4
Lattice="3.206 0.000 0.000 1.603 2.777 0.000 1.603 0.926 10.813" Properties=species:S:1:pos:R:3 pbc="T T T"
Sn 1.603 0.926 7.933
Al 0.000 0.000 0.000
Sn 4.810 2.777 2.879
Ga 3.206 1.851 5.406
```

Results
- Energy of formation: 0.182 eV/atom
- Energy above the lowest structure with this stoichiometry: 69.3 meV/atom
- Total magnetization: 0.00 μB per formula unit
- Density of states at the Fermi level: 2.15 states/eV per cell
- Space-group type: No. 166